No. 1
Compound: Pm2VSi
Source: the Alexandria database
Functional: PBE
Structure: optimized geometry

a b c (Å): 7.248 7.248 7.248
angles (deg): 90.00 90.00 90.00
Space group Fm-3m (No. 225)
Unique sites:
Pm1 0.250 0.250 0.250 (multiplicity 8)
V1 0.000 0.000 0.000 (multiplicity 4)
Si1 0.000 0.000 0.500 (multiplicity 4)

Properties
**DFT total energy**: -6.00 eV/atom
**Density of states at the Fermi level**: 2.998 states/eV/f.u.
**Formation energy without anion corrections**: 13 meV per atom

---

No. 2
Compound: Ca2UN3
Source: the Alexandria database
Functional: PBE
Structure: optimized geometry

a b c (Å): 3.521 4.848 10.537
angles (deg): 90.00 90.00 90.00
Space group Immm (No. 71)
Unique sites:
Ca1 0.000 0.000 0.166 (multiplicity 4)
U1 0.000 0.000 0.500 (multiplicity 2)
N1 0.000 0.500 0.135 (multiplicity 4)
N2 0.000 0.500 0.500 (multiplicity 2)

Properties
**DFT total energy**: -8.01 eV/atom
**Density of states at the Fermi level**: 1.809 states/eV/f.u.
**Formation energy without anion corrections**: -1298 meV per atom

---

No. 3
Compound: Tb2Ni3P4Rh
Source: the Alexandria database
Functional: PBE
Structure: optimized geometry

a b c (Å): 4.023 4.023 9.202
angles (deg): 90.00 90.00 90.00
Space group P-4m2 (No. 115)
Unique sites:
Tb1 0.000 0.500 0.241 (multiplicity 2)
Ni1 0.000 0.500 0.885 (multiplicity 2)
Ni2 0.500 0.500 0.500 (multiplicity 1)
P1 0.000 0.000 0.000 (multiplicity 1)
P2 0.000 0.500 0.639 (multiplicity 2)
P3 0.500 0.500 0.000 (multiplicity 1)
Rh1 0.000 0.000 0.500 (multiplicity 1)

Properties
**DFT total energy**: -6.57 eV/atom
**Density of states at the Fermi level**: 4.717 states/eV/f.u.

---

No. 4
Compound: Na2CuBr4
Source: the Alexandria database
Functional: PBE
Structure: optimized geometry

a b c (Å): 7.068 7.237 8.141
angles (deg): 90.00 106.58 90.00
Space group P2_1/m (No. 11)
Unique sites:
Na1 0.228 0.250 0.057 (multiplicity 2)
Na2 0.230 0.250 0.556 (multiplicity 2)
Cu1 0.248 0.750 0.814 (multiplicity 2)
Br1 0.008 0.502 0.751 (multiplicity 4)
Br2 0.444 0.750 0.107 (multiplicity 2)
Br3 0.447 0.750 0.619 (multiplicity 2)

Properties
**DFT total energy**: -2.86 eV/atom
**Density of states at the Fermi level**: 7.082 states/eV/f.u.
**Formation energy without anion corrections**: -940 meV per atom
**Energy above the most stable polymorph in this dataset**: 35 meV per atom

---

No. 5
Compound: Li3GeB
Source: the Alexandria database
Functional: PBE
Structure: optimized geometry

a b c (Å): 4.735 4.735 4.735
angles (deg): 90.00 90.00 90.00
Space group Pm-3m (No. 221)
Unique sites:
Li1 0.000 0.000 0.500 (multiplicity 3)
Ge1 0.000 0.000 0.000 (multiplicity 1)
B1 0.500 0.500 0.500 (multiplicity 1)

Properties
**DFT total energy**: -2.47 eV/atom
**Density of states at the Fermi level**: 1.320 states/eV/f.u.
**Energy above the most stable polymorph in this dataset**: 461 meV per atom

---

No. 6
Compound: ScMn2AlHg
Source: the Alexandria database
Functional: PBE
Structure: optimized geometry

a b c (Å): 4.643 4.643 4.867
angles (deg): 90.00 90.00 90.00
Space group P4/mmm (No. 123)
Unique sites:
Sc1 0.000 0.000 0.000 (multiplicity 1)
Mn1 0.000 0.500 0.500 (multiplicity 2)
Al1 0.500 0.500 0.500 (multiplicity 1)
Hg1 0.500 0.500 0.000 (multiplicity 1)

Properties
**DFT total energy**: -5.11 eV/atom
**Density of states at the Fermi level**: 5.068 states/eV/f.u.

---

No. 7
Compound: CdTeMo2Se
Source: the Alexandria database
Functional: PBE
Structure: optimized geometry

a b c (Å): 4.993 4.993 5.350
angles (deg): 90.00 90.00 90.00
Space group P4/mmm (No. 123)
Unique sites:
Cd1 0.000 0.000 0.000 (multiplicity 1)
Te1 0.000 0.000 0.500 (multiplicity 1)
Mo1 0.000 0.500 0.500 (multiplicity 2)
Se1 0.500 0.500 0.000 (multiplicity 1)

Properties
**DFT total energy**: -4.18 eV/atom
**Density of states at the Fermi level**: 9.885 states/eV/f.u.
**Formation energy without anion corrections**: 1664 meV per atom

---

No. 8
Compound: MnAlCoTc
Source: the Alexandria database
Functional: PBE
Structure: optimized geometry

a b c (Å): 5.862 5.862 5.862
angles (deg): 90.00 90.00 90.00
Space group F-43m (No. 216)
Unique sites:
Mn1 0.000 0.000 0.000 (multiplicity 4)
Al1 0.000 0.000 0.500 (multiplicity 4)
Co1 0.250 0.250 0.750 (multiplicity 4)
Tc1 0.250 0.250 0.250 (multiplicity 4)

Properties
**DFT total energy**: -7.86 eV/atom
**Density of states at the Fermi level**: 1.526 states/eV/f.u.

---

No. 9
Compound: ZnHgBiPb
Source: the Alexandria database
Functional: PBE
Structure: optimized geometry

a b c (Å): 7.609 7.609 7.609
angles (deg): 90.00 90.00 90.00
Space group F-43m (No. 216)
Unique sites:
Zn1 0.000 0.000 0.000 (multiplicity 4)
Hg1 0.250 0.250 0.250 (multiplicity 4)
Bi1 0.250 0.250 0.750 (multiplicity 4)
Pb1 0.000 0.000 0.500 (multiplicity 4)

Properties
**DFT total energy**: -2.17 eV/atom
**Density of states at the Fermi level**: 2.134 states/eV/f.u.

---

No. 10
Compound: GdPaTc2
Source: the Alexandria database
Functional: PBE
Structure: optimized geometry

a b c (Å): 6.874 6.874 6.874
angles (deg): 90.00 90.00 90.00
Space group Fm-3m (No. 225)
Unique sites:
Gd1 0.000 0.000 0.000 (multiplicity 4)
Pa1 0.000 0.000 0.500 (multiplicity 4)
Tc1 0.250 0.250 0.250 (multiplicity 8)

Properties
**DFT total energy**: -11.17 eV/atom
**Density of states at the Fermi level**: 2.113 states/eV/f.u.
**Energy above the most stable polymorph in this dataset**: 80 meV per atom

---

No. 11
Compound: AsRuCSe2
Source: the Alexandria database
Functional: PBE
Structure: optimized geometry

a b c (Å): 4.939 4.939 4.647
angles (deg): 90.00 90.00 90.00
Space group P4/mmm (No. 123)
Unique sites:
As1 0.000 0.000 0.000 (multiplicity 1)
Ru1 0.000 0.000 0.500 (multiplicity 1)
C1 0.500 0.500 0.000 (multiplicity 1)
Se1 0.000 0.500 0.500 (multiplicity 2)

Properties
**DFT total energy**: -4.27 eV/atom
**Density of states at the Fermi level**: 5.503 states/eV/f.u.
**Formation energy without anion corrections**: 1755 meV per atom
**Energy above the most stable polymorph in this dataset**: 512 meV per atom

---

No. 12
Compound: Sc2TiCl
Source: the Alexandria database
Functional: PBE
Structure: optimized geometry

a b c (Å): 8.417 8.417 4.776
angles (deg): 90.00 90.00 90.00
Space group I-42d (No. 122)
Unique sites:
Sc1 0.140 0.250 0.125 (multiplicity 8)
Ti1 0.000 0.000 0.500 (multiplicity 4)
Cl1 0.000 0.000 0.000 (multiplicity 4)

Properties
**DFT total energy**: -5.69 eV/atom
**Density of states at the Fermi level**: 3.086 states/eV/f.u.
**Formation energy without anion corrections**: -92 meV per atom
**Energy above the most stable polymorph in this dataset**: 455 meV per atom